[1]
A plane-wave DFT calculation with PBE was carried out for Nb3BiB after structural relaxation.

Cell and atoms, written as POSCAR:
```
Nb3BiB
1.0
4.465 0.000 0.000
0.000 4.465 0.000
0.000 0.000 4.465
Nb Bi B
3 1 1
direct
0.000 0.000 0.500
0.000 0.500 0.000
0.500 0.000 0.000
0.500 0.500 0.500
0.000 0.000 0.000
```

Summary:
Offset from the most stable computed form (kJ/mol of formula units): 0
ΔH_f (0 K) (meV/atom): 105
Symmetry: Pm-3m
Crystal system: cubic

[2]
A plane-wave DFT calculation with PBE was carried out for Rb3Mg2Br7 after structural relaxation.

Cell and atoms, written as POSCAR:
```
Rb3Mg2Br7
1.0
2.722 -14.052 0.000
2.722 14.052 0.000
0.000 0.000 5.332
Rb Mg Br
3 2 7
direct
0.000 0.000 0.000
0.178 0.822 0.000
0.822 0.178 0.000
0.401 0.599 0.500
0.599 0.401 0.500
0.094 0.906 0.500
0.308 0.692 0.500
0.406 0.594 0.000
0.500 0.500 0.500
0.594 0.406 0.000
0.692 0.308 0.500
0.906 0.094 0.500
```

Summary:
Raw formation energy (eV/atom): -1.5875
Symmetry: Cmmm
Crystal system: orthorhombic

[3]
A plane-wave DFT calculation with PBE was carried out for Nd2YPd after structural relaxation.

Cell and atoms, written as POSCAR:
```
Nd2YPd
1.0
1.846 1.066 10.840
-1.846 1.066 10.840
0.000 -2.131 10.840
Nd Y Pd
2 1 1
direct
0.106 0.106 0.106
0.894 0.894 0.894
0.000 0.000 0.000
0.500 0.500 0.500
```

Summary:
Offset from the most stable computed form (kJ/mol of formula units): 146
ΔH_f (0 K) (meV/atom): -45
Symmetry: R-3m
Crystal system: trigonal

[4]
A plane-wave DFT calculation with PBE was carried out for Ca2TeSe after structural relaxation.

Cell and atoms, written as POSCAR:
```
Ca2TeSe
1.0
0.000 3.798 3.798
3.798 0.000 3.798
3.798 3.798 0.000
Ca Te Se
2 1 1
direct
0.250 0.250 0.250
0.750 0.750 0.750
0.000 0.000 0.000
0.500 0.500 0.500
```

Summary:
Offset from the most stable computed form (kJ/mol of formula units): 130
Raw formation energy (eV/atom): -1.4856
Symmetry: Fm-3m
Crystal system: cubic

[5]
A plane-wave DFT calculation with PBE was carried out for CaHoMgTl after structural relaxation.

Cell and atoms, written as POSCAR:
```
CaHoMgTl
1.0
0.000 3.818 3.818
3.818 0.000 3.818
3.818 3.818 0.000
Ca Ho Mg Tl
1 1 1 1
direct
0.000 0.000 0.000
0.500 0.500 0.500
0.750 0.750 0.750
0.250 0.250 0.250
```

Summary:
ΔH_f (0 K) (meV/atom): -244
Symmetry: F-43m
Crystal system: cubic

[6]
A plane-wave DFT calculation with PBE was carried out for NaGeP after structural relaxation.

Cell and atoms, written as POSCAR:
```
NaGeP
1.0
-2.188 2.188 4.011
2.188 -2.188 4.011
2.188 2.188 -4.011
Na Ge P
1 1 1
direct
0.000 0.000 0.000
0.359 0.359 0.000
0.627 0.627 0.000
```

Summary:
ΔH_f (0 K) (meV/atom): 139
Symmetry: I4mm
Crystal system: tetragonal

[7]
A plane-wave DFT calculation with PBE was carried out for LiPmSi2O6 after structural relaxation.

Cell and atoms, written as POSCAR:
```
LiPmSi2O6
1.0
5.143 -4.907 0.000
5.143 4.907 0.000
-2.051 0.000 5.181
Li Pm Si O
2 2 4 12
direct
0.237 0.763 0.750
0.763 0.237 0.250
0.123 0.877 0.250
0.877 0.123 0.750
0.220 0.379 0.309
0.379 0.220 0.809
0.621 0.780 0.191
0.780 0.621 0.691
0.042 0.211 0.187
0.154 0.604 0.388
0.211 0.042 0.687
0.330 0.360 0.074
0.360 0.330 0.574
0.396 0.846 0.112
0.604 0.154 0.888
0.640 0.670 0.426
0.670 0.640 0.926
0.789 0.958 0.313
0.846 0.396 0.612
0.958 0.789 0.813
```

Summary:
Raw formation energy (eV/atom): -2.8750
Symmetry: C2/c
Crystal system: monoclinic

[8]
A plane-wave DFT calculation with PBE was carried out for FeNi2SbN after structural relaxation.

Cell and atoms, written as POSCAR:
```
FeNi2SbN
1.0
3.957 0.000 0.000
0.000 3.957 0.000
0.000 0.000 3.889
Fe Ni Sb N
1 2 1 1
direct
0.000 0.000 0.000
0.000 0.500 0.500
0.500 0.000 0.500
0.500 0.500 0.000
0.000 0.000 0.500
```

Summary:
Raw formation energy (eV/atom): 0.0630
Symmetry: P4/mmm
Crystal system: tetragonal

[9]
A plane-wave DFT calculation with PBE was carried out for Ce4ErZn5 after structural relaxation.

Cell and atoms, written as POSCAR:
```
Ce4ErZn5
1.0
3.560 0.000 0.000
0.000 3.560 0.000
0.000 0.000 18.371
Ce Er Zn
4 1 5
direct
0.000 0.000 0.101
0.000 0.000 0.303
0.000 0.000 0.697
0.000 0.000 0.899
0.000 0.000 0.500
0.500 0.500 0.000
0.500 0.500 0.201
0.500 0.500 0.408
0.500 0.500 0.592
0.500 0.500 0.799
```

Summary:
ΔH_f (0 K) (meV/atom): -208
Symmetry: P4/mmm
Crystal system: tetragonal

[10]
A plane-wave DFT calculation with PBE was carried out for TlSn2PPb after structural relaxation.

Cell and atoms, written as POSCAR:
```
TlSn2PPb
1.0
5.740 0.000 0.000
0.000 5.740 0.000
0.000 0.000 5.076
Tl Sn P Pb
1 2 1 1
direct
0.000 0.000 0.000
0.000 0.500 0.000
0.500 0.000 0.000
0.000 0.000 0.500
0.500 0.500 0.500
```

Summary:
ΔH_f (0 K) (meV/atom): 792
Symmetry: P4/mmm
Crystal system: tetragonal

[11]
A plane-wave DFT calculation with PBE was carried out for ZnCo2Ru after structural relaxation.

Cell and atoms, written as POSCAR:
```
ZnCo2Ru
1.0
4.314 -1.298 0.000
4.314 1.298 0.000
-0.864 0.000 4.401
Zn Co Ru
1 2 1
direct
0.000 0.000 0.000
0.246 0.246 0.771
0.508 0.508 0.510
0.761 0.761 0.290
```

Summary:
ΔH_f (0 K) (meV/atom): 108
Symmetry: Cm
Crystal system: monoclinic

[12]
A plane-wave DFT calculation with PBE was carried out for AgPd after structural relaxation.

Cell and atoms, written as POSCAR:
```
AgPd
1.0
-2.034 2.034 4.002
2.034 -2.034 4.002
2.034 2.034 -4.002
Ag Pd
2 2
direct
0.375 0.625 0.750
0.625 0.375 0.250
0.125 0.875 0.250
0.875 0.125 0.750
```

Summary:
ΔH_f (0 K) (meV/atom): -27
Symmetry: I4_1/amd
Crystal system: tetragonal

[13]
A plane-wave DFT calculation with PBE was carried out for PmThC after structural relaxation.

Cell and atoms, written as POSCAR:
```
PmThC
1.0
3.654 0.000 0.000
-1.827 3.164 0.000
0.000 0.000 6.500
Pm Th C
1 1 1
direct
0.000 0.000 0.000
0.667 0.333 0.438
0.333 0.667 0.228
```

Summary:
Offset from the most stable computed form (kJ/mol of formula units): 2
ΔH_f (0 K) (meV/atom): -180
Symmetry: P3m1
Crystal system: trigonal

[14]
A plane-wave DFT calculation with PBE was carried out for B5C7 after structural relaxation.

Cell and atoms, written as POSCAR:
```
B5C7
1.0
6.734 -1.240 0.000
6.734 1.240 0.000
-1.114 0.000 4.685
B C
5 7
direct
0.000 0.000 0.000
0.143 0.143 0.820
0.541 0.541 0.260
0.706 0.706 0.084
0.850 0.850 0.869
0.013 0.013 0.689
0.197 0.197 0.544
0.314 0.314 0.645
0.364 0.364 0.381
0.483 0.483 0.512
0.661 0.661 0.370
0.832 0.832 0.193
```

Summary:
Offset from the most stable computed form (kJ/mol of formula units): 96
ΔH_f (0 K) (meV/atom): 341
Symmetry: Cm
Crystal system: monoclinic

[15]
A plane-wave DFT calculation with PBE was carried out for Sr2H6PdAu after structural relaxation.

Cell and atoms, written as POSCAR:
```
Sr2H6PdAu
1.0
0.000 3.900 4.028
3.813 0.000 4.028
3.813 3.900 0.000
Sr H Pd Au
2 6 1 1
direct
0.250 0.250 0.250
0.750 0.750 0.750
0.224 0.224 0.776
0.231 0.769 0.231
0.255 0.745 0.745
0.745 0.255 0.255
0.769 0.231 0.769
0.776 0.776 0.224
0.000 0.000 0.000
0.500 0.500 0.500
```

Summary:
Symmetry: Fmmm
Crystal system: orthorhombic
Calculated total energy (eV/atom): -3.621

[16]
A plane-wave DFT calculation with PBE was carried out for CeTaMnP2 after structural relaxation.

Cell and atoms, written as POSCAR:
```
CeTaMnP2
1.0
-1.897 1.897 6.084
1.897 -1.897 6.084
1.897 1.897 -6.084
Ce Ta Mn P
1 1 1 2
direct
0.000 0.000 0.000
0.750 0.250 0.500
0.250 0.750 0.500
0.380 0.380 0.000
0.620 0.620 0.000
```

Summary:
ΔH_f (0 K) (meV/atom): -830
Symmetry: I-4m2
Crystal system: tetragonal

[17]
A plane-wave DFT calculation with PBE was carried out for SiHgPb3 after structural relaxation.

Cell and atoms, written as POSCAR:
```
SiHgPb3
1.0
5.486 0.000 0.000
0.000 5.486 0.000
0.000 0.000 5.486
Si Hg Pb
1 1 3
direct
0.000 0.000 0.000
0.500 0.500 0.500
0.000 0.000 0.500
0.000 0.500 0.000
0.500 0.000 0.000
```

Summary:
Offset from the most stable computed form (kJ/mol of formula units): 0
Raw formation energy (eV/atom): 0.4622
Symmetry: Pm-3m
Crystal system: cubic

[18]
A plane-wave DFT calculation with PBE was carried out for Cd2C after structural relaxation.

Cell and atoms, written as POSCAR:
```
Cd2C
1.0
3.778 0.000 0.000
-1.889 3.272 0.000
0.000 0.000 16.138
Cd C
6 3
direct
0.000 0.000 0.103
0.000 0.000 0.897
0.333 0.667 0.566
0.333 0.667 0.739
0.667 0.333 0.261
0.667 0.333 0.434
0.000 0.000 0.500
0.333 0.667 0.876
0.667 0.333 0.124
```

Summary:
Offset from the most stable computed form (kJ/mol of formula units): 166
ΔH_f (0 K) (meV/atom): 1317
Symmetry: P-3m1
Crystal system: trigonal

[19]
A plane-wave DFT calculation with PBE was carried out for TmSc8 after structural relaxation.

Cell and atoms, written as POSCAR:
```
TmSc8
1.0
-4.927 4.927 2.322
4.927 -4.927 2.322
4.927 4.927 -2.322
Tm Sc
1 8
direct
0.000 0.000 0.000
0.000 0.335 0.335
0.000 0.665 0.665
0.331 0.331 0.662
0.331 0.669 0.000
0.335 0.000 0.335
0.665 0.000 0.665
0.669 0.331 0.000
0.669 0.669 0.338
```

Summary:
ΔH_f (0 K) (meV/atom): 50
Symmetry: I4/mmm
Crystal system: tetragonal

[20]
A plane-wave DFT calculation with PBE was carried out for TlAsPbSe2 after structural relaxation.

Cell and atoms, written as POSCAR:
```
TlAsPbSe2
1.0
5.582 0.000 0.000
0.000 5.582 0.000
0.000 0.000 5.458
Tl As Pb Se
1 1 1 2
direct
0.000 0.000 0.000
0.500 0.500 0.000
0.500 0.500 0.500
0.000 0.500 0.500
0.500 0.000 0.500
```

Summary:
Offset from the most stable computed form (kJ/mol of formula units): 0
Raw formation energy (eV/atom): 0.3820
Symmetry: P4/mmm
Crystal system: tetragonal

[21]
A plane-wave DFT calculation with PBE was carried out for MnW3N after structural relaxation.

Cell and atoms, written as POSCAR:
```
MnW3N
1.0
4.439 0.000 0.000
0.000 4.439 0.000
0.000 0.000 4.439
Mn W N
1 3 1
direct
0.000 0.000 0.000
0.000 0.000 0.500
0.000 0.500 0.000
0.500 0.000 0.000
0.500 0.500 0.500
```

Summary:
Offset from the most stable computed form (kJ/mol of formula units): 1093
Raw formation energy (eV/atom): 2.4700
Symmetry: Pm-3m
Crystal system: cubic

[22]
A plane-wave DFT calculation with PBE was carried out for Cs2BaHoF6 after structural relaxation.

Cell and atoms, written as POSCAR:
```
Cs2BaHoF6
1.0
6.646 0.000 0.000
0.000 9.595 0.000
0.000 0.000 7.506
Cs Ba Ho F
4 2 2 12
direct
0.250 0.018 0.185
0.250 0.482 0.185
0.750 0.518 0.815
0.750 0.982 0.815
0.250 0.250 0.690
0.750 0.750 0.310
0.250 0.750 0.766
0.750 0.250 0.234
0.027 0.250 0.392
0.027 0.750 0.990
0.250 0.519 0.779
0.250 0.981 0.779
0.473 0.250 0.392
0.473 0.750 0.990
0.527 0.250 0.010
0.527 0.750 0.608
0.750 0.019 0.221
0.750 0.481 0.221
0.973 0.250 0.010
0.973 0.750 0.608
```

Summary:
Raw formation energy (eV/atom): -3.2837
Symmetry: Pmmn
Crystal system: orthorhombic

[23]
A plane-wave DFT calculation with PBE was carried out for TlTe3 after structural relaxation.

Cell and atoms, written as POSCAR:
```
TlTe3
1.0
4.040 -8.900 0.000
4.040 8.900 0.000
0.000 0.000 4.020
Tl Te
2 6
direct
0.212 0.788 0.750
0.788 0.212 0.250
0.134 0.327 0.750
0.327 0.134 0.250
0.378 0.622 0.250
0.622 0.378 0.750
0.673 0.866 0.750
0.866 0.673 0.250
```

Summary:
Raw formation energy (eV/atom): -0.0173
Symmetry: Cmcm
Crystal system: orthorhombic

[24]
A plane-wave DFT calculation with PBE was carried out for Pm2Sm6Y after structural relaxation.

Cell and atoms, written as POSCAR:
```
Pm2Sm6Y
1.0
4.947 -8.599 0.000
4.947 8.599 0.000
0.000 0.000 3.549
Pm Sm Y
2 6 1
direct
0.167 0.833 0.000
0.833 0.167 0.000
0.168 0.168 0.500
0.168 0.500 0.500
0.500 0.168 0.500
0.500 0.832 0.500
0.832 0.500 0.500
0.832 0.832 0.500
0.500 0.500 0.000
```

Summary:
Offset from the most stable computed form (kJ/mol of formula units): 0
ΔH_f (0 K) (meV/atom): 54
Symmetry: Cmmm
Crystal system: orthorhombic

[25]
A plane-wave DFT calculation with PBE was carried out for CuMoH2 after structural relaxation.

Cell and atoms, written as POSCAR:
```
CuMoH2
1.0
0.000 2.559 2.559
2.559 0.000 2.559
2.559 2.559 0.000
Cu Mo H
1 1 2
direct
0.000 0.000 0.000
0.500 0.500 0.500
0.250 0.250 0.250
0.750 0.750 0.750
```

Summary:
Offset from the most stable computed form (kJ/mol of formula units): 140
Symmetry: Fm-3m
Crystal system: cubic

Magnetization in μB/cell, matching the order above: 0.0 0.0 0.0 0.0 0.0 0.0 0.0 2.2 2.1 0.0 2.6 0.0 0.0 0.0 0.0 1.2 0.0 0.0 0.0 1.2 0.0 0.8 0.0 0.0 0.0